*w*
Density functional theory data (GGA-PBE) for crystalline Ac3LaPm at its relaxed geometry.

The structure in CIF format:
```
data_Ac3LaPm
_cell_length_a 10.2288
_cell_length_b 10.2288
_cell_length_c 10.9574
_cell_angle_alpha 105.08
_cell_angle_beta 105.08
_cell_angle_gamma 21.95
_space_group_name_H-M_alt 'P 1'
_space_group_IT_number 1
_space_group_name_Hall 'P 1'
loop_
_atom_site_label
_atom_site_fract_x
_atom_site_fract_y
_atom_site_fract_z
Ac1 0.0007 0.0007 0.2407
Ac2 0.2018 0.2018 0.8479
Ac3 0.3980 0.3980 0.4549
Ac4 0.6020 0.6020 0.5451
Ac5 0.7982 0.7982 0.1521
Ac6 0.9993 0.9993 0.7593
La1 0.3977 0.3977 0.9459
La2 0.6023 0.6023 0.0541
Pm1 0.2012 0.2012 0.3525
Pm2 0.7988 0.7988 0.6475
```

***

*x*
Density functional theory data (GGA-PBE) for crystalline Ac3LaPm at its relaxed geometry.

The structure in CIF format:
```
data_Ac3LaPm
_cell_length_a 8.8193
_cell_length_b 8.8193
_cell_length_c 6.5206
_cell_angle_alpha 90.00
_cell_angle_beta 90.00
_cell_angle_gamma 120.08
_space_group_name_H-M_alt 'P 1'
_space_group_IT_number 1
_space_group_name_Hall 'P 1'
loop_
_atom_site_label
_atom_site_fract_x
_atom_site_fract_y
_atom_site_fract_z
Ac1 0.1971 0.3951 0.7500
Ac2 0.1974 0.8026 0.7500
Ac3 0.3951 0.1971 0.2500
Ac4 0.6049 0.8029 0.7500
Ac5 0.8026 0.1974 0.2500
Ac6 0.8029 0.6049 0.2500
La1 0.0000 0.0000 0.0000
La2 0.0000 0.0000 0.5000
Pm1 0.3336 0.6664 0.2500
Pm2 0.6664 0.3336 0.7500
```

***

Most stable one: *w*, least stable one: *x*.

***

*w*
Density functional theory data (GGA-PBE) for crystalline AcLa2Pm8 at its relaxed geometry.

The structure in CIF format:
```
data_AcLa2Pm8
_cell_length_a 9.7749
_cell_length_b 9.7749
_cell_length_c 8.2835
_cell_angle_alpha 104.74
_cell_angle_beta 104.74
_cell_angle_gamma 31.10
_space_group_name_H-M_alt 'P 1'
_space_group_IT_number 1
_space_group_name_Hall 'P 1'
loop_
_atom_site_label
_atom_site_fract_x
_atom_site_fract_y
_atom_site_fract_z
Ac1 0.0000 0.0000 0.0000
La1 0.2718 0.2718 0.3629
La2 0.7282 0.7282 0.6371
Pm1 0.0911 0.0911 0.4598
Pm2 0.1827 0.1827 0.9064
Pm3 0.3623 0.3623 0.8170
Pm4 0.4548 0.4548 0.2764
Pm5 0.5452 0.5452 0.7236
Pm6 0.6377 0.6377 0.1830
Pm7 0.8173 0.8173 0.0936
Pm8 0.9089 0.9089 0.5402
```

***

*x*
Density functional theory data (GGA-PBE) for crystalline AcLa2Pm8 at its relaxed geometry.

The structure in CIF format:
```
data_AcLa2Pm8
_cell_length_a 9.6919
_cell_length_b 9.6919
_cell_length_c 9.6919
_cell_angle_alpha 145.92
_cell_angle_beta 127.61
_cell_angle_gamma 63.99
_space_group_name_H-M_alt 'P 1'
_space_group_IT_number 1
_space_group_name_Hall 'P 1'
loop_
_atom_site_label
_atom_site_fract_x
_atom_site_fract_y
_atom_site_fract_z
Ac1 0.0000 0.0000 0.0000
La1 0.2994 0.2994 0.0000
La2 0.7006 0.7006 0.0000
Pm1 0.1543 0.8576 0.2966
Pm2 0.1575 0.6575 0.5000
Pm3 0.2961 0.5000 0.7961
Pm4 0.4390 0.1424 0.2966
Pm5 0.5610 0.8576 0.7034
Pm6 0.7039 0.5000 0.2039
Pm7 0.8425 0.3425 0.5000
Pm8 0.8457 0.1424 0.7034
```

***

Most stable one: *w*, least stable one: *x*.

***

*w*
Density functional theory data (GGA-PBE) for crystalline AcLa3Pm6 at its relaxed geometry.

The structure in CIF format:
```
data_AcLa3Pm6
_cell_length_a 7.1482
_cell_length_b 7.1482
_cell_length_c 7.1482
_cell_angle_alpha 90.77
_cell_angle_beta 90.77
_cell_angle_gamma 90.77
_space_group_name_H-M_alt 'P 1'
_space_group_IT_number 1
_space_group_name_Hall 'P 1'
loop_
_atom_site_label
_atom_site_fract_x
_atom_site_fract_y
_atom_site_fract_z
Ac1 0.0000 0.0000 0.0000
La1 0.2693 0.2693 0.2693
La2 0.5014 0.5014 0.5014
La3 0.7348 0.7348 0.7348
Pm1 0.0041 0.3388 0.6750
Pm2 0.1794 0.8300 0.5016
Pm3 0.3388 0.6750 0.0041
Pm4 0.5016 0.1794 0.8300
Pm5 0.6750 0.0041 0.3388
Pm6 0.8300 0.5016 0.1794
```

***

*x*
Density functional theory data (GGA-PBE) for crystalline AcLa3Pm6 at its relaxed geometry.

The structure in CIF format:
```
data_AcLa3Pm6
_cell_length_a 9.3074
_cell_length_b 9.3074
_cell_length_c 9.3157
_cell_angle_alpha 90.00
_cell_angle_beta 90.00
_cell_angle_gamma 115.58
_space_group_name_H-M_alt 'P 1'
_space_group_IT_number 1
_space_group_name_Hall 'P 1'
loop_
_atom_site_label
_atom_site_fract_x
_atom_site_fract_y
_atom_site_fract_z
Ac1 0.2154 0.7846 0.5000
Ac2 0.7846 0.2154 0.0000
La1 0.0444 0.9556 0.2443
La2 0.2008 0.3358 0.0731
La3 0.3358 0.2008 0.5731
La4 0.6642 0.7992 0.0731
La5 0.7992 0.6642 0.5731
La6 0.9556 0.0444 0.7443
Pm1 0.0307 0.3245 0.4057
Pm2 0.1782 0.4721 0.7379
Pm3 0.2761 0.7239 0.1305
Pm4 0.3245 0.0307 0.9057
Pm5 0.4439 0.5561 0.3880
Pm6 0.4721 0.1782 0.2379
Pm7 0.5279 0.8218 0.7379
Pm8 0.5561 0.4439 0.8880
Pm9 0.6755 0.9693 0.4057
Pm10 0.7239 0.2761 0.6305
Pm11 0.8218 0.5279 0.2379
Pm12 0.9693 0.6755 0.9057
```

***

Most stable one: *x*, least stable one: *w*.

***

*w*
Density functional theory data (GGA-PBE) for crystalline Ac4La3Pm at its relaxed geometry.

The structure in CIF format:
```
data_Ac4La3Pm
_cell_length_a 9.5256
_cell_length_b 9.5256
_cell_length_c 3.6945
_cell_angle_alpha 90.00
_cell_angle_beta 90.00
_cell_angle_gamma 97.79
_space_group_name_H-M_alt 'P 1'
_space_group_IT_number 1
_space_group_name_Hall 'P 1'
loop_
_atom_site_label
_atom_site_fract_x
_atom_site_fract_y
_atom_site_fract_z
Ac1 0.2485 0.2485 0.5000
Ac2 0.2488 0.7512 0.0000
Ac3 0.7512 0.2488 0.0000
Ac4 0.7515 0.7515 0.5000
La1 0.0000 0.5000 0.5000
La2 0.5000 0.0000 0.5000
La3 0.5000 0.5000 0.0000
Pm1 0.0000 0.0000 0.0000
```

***

*x*
Density functional theory data (GGA-PBE) for crystalline Ac4La3Pm at its relaxed geometry.

The structure in CIF format:
```
data_Ac4La3Pm
_cell_length_a 11.0206
_cell_length_b 7.6664
_cell_length_c 7.6696
_cell_angle_alpha 90.00
_cell_angle_beta 90.00
_cell_angle_gamma 90.00
_space_group_name_H-M_alt 'P 1'
_space_group_IT_number 1
_space_group_name_Hall 'P 1'
loop_
_atom_site_label
_atom_site_fract_x
_atom_site_fract_y
_atom_site_fract_z
Ac1 0.0000 0.0006 0.0000
Ac2 0.0000 0.4990 0.4979
Ac3 0.2486 0.7488 0.7489
Ac4 0.2514 0.2512 0.2489
Ac5 0.5000 0.5010 0.9979
Ac6 0.5000 0.9994 0.5000
Ac7 0.7486 0.2512 0.2489
Ac8 0.7514 0.7488 0.7489
La1 0.0000 0.0004 0.4983
La2 0.2498 0.2503 0.7489
La3 0.2502 0.7497 0.2489
La4 0.5000 0.9996 0.9983
La5 0.7502 0.2503 0.7489
La6 0.7498 0.7497 0.2489
Pm1 0.0000 0.4996 0.9994
Pm2 0.5000 0.5004 0.4994
```

***

Most stable one: *x*, least stable one: *w*.

***

*w*
Density functional theory data (GGA-PBE) for crystalline Ac2La3Pm at its relaxed geometry.

The structure in CIF format:
```
data_Ac2La3Pm
_cell_length_a 6.9622
_cell_length_b 18.8198
_cell_length_c 3.6576
_cell_angle_alpha 90.00
_cell_angle_beta 90.00
_cell_angle_gamma 90.00
_space_group_name_H-M_alt 'P 1'
_space_group_IT_number 1
_space_group_name_Hall 'P 1'
loop_
_atom_site_label
_atom_site_fract_x
_atom_site_fract_y
_atom_site_fract_z
Ac1 0.2276 0.1864 0.0000
Ac2 0.2724 0.6864 0.5000
Ac3 0.7276 0.3136 0.5000
Ac4 0.7724 0.8136 0.0000
La1 0.0000 0.5000 0.0000
La2 0.2211 0.3606 0.5000
La3 0.2789 0.8606 0.0000
La4 0.5000 0.0000 0.5000
La5 0.7211 0.1394 0.0000
La6 0.7789 0.6394 0.5000
Pm1 0.0000 0.0000 0.0000
Pm2 0.5000 0.5000 0.5000
```

***

*x*
Density functional theory data (GGA-PBE) for crystalline Ac2La3Pm at its relaxed geometry.

The structure in CIF format:
```
data_Ac2La3Pm
_cell_length_a 9.2521
_cell_length_b 9.2521
_cell_length_c 10.1742
_cell_angle_alpha 118.56
_cell_angle_beta 118.56
_cell_angle_gamma 38.78
_space_group_name_H-M_alt 'P 1'
_space_group_IT_number 1
_space_group_name_Hall 'P 1'
loop_
_atom_site_label
_atom_site_fract_x
_atom_site_fract_y
_atom_site_fract_z
Ac1 0.0413 0.0413 0.2121
Ac2 0.3119 0.3119 0.5067
Ac3 0.6881 0.6881 0.4933
Ac4 0.9587 0.9587 0.7879
La1 0.1434 0.1434 0.6615
La2 0.2185 0.2185 0.0731
La3 0.4456 0.4456 0.3259
La4 0.5544 0.5544 0.6741
La5 0.7815 0.7815 0.9269
La6 0.8566 0.8566 0.3385
Pm1 0.3879 0.3879 0.9356
Pm2 0.6121 0.6121 0.0644
```

***

Most stable one: *x*, least stable one: *w*.